# 1
## Ag2PdAu5 (PBE)

Data for crystalline Ag2PdAu5 at its relaxed geometry.

Structure (POSCAR):
```
Ag2PdAu5
1.0
7.192 0.000 0.000
0.000 7.192 0.000
-3.596 -3.596 5.675
Ag Pd Au
4 2 10
direct
0.145 0.355 0.000 Ag
0.645 0.145 0.000 Ag
0.355 0.855 0.000 Ag
0.855 0.645 0.000 Ag
0.750 0.750 0.500 Pd
0.250 0.250 0.500 Pd
0.485 0.684 0.669 Au
0.816 0.015 0.331 Au
0.000 0.000 0.000 Au
0.500 0.500 0.000 Au
0.184 0.985 0.669 Au
0.684 0.184 0.669 Au
0.985 0.485 0.669 Au
0.316 0.816 0.331 Au
0.015 0.515 0.331 Au
0.515 0.316 0.331 Au
```

Computed properties:
**Distance to the lowest polymorph of the same formula**: 20 meV per atom
**E_form**: 65 meV/atom
**Space group**: No. 140

=====

# 2
## Ce3AlC (PBE)

Data for crystalline Ce3AlC at its relaxed geometry.

Structure (POSCAR):
```
Ce3AlC
1.0
4.930 0.000 0.000
0.000 4.930 0.000
0.000 0.000 4.930
Ce Al C
3 1 1
direct
0.000 0.500 0.500 Ce
0.500 0.000 0.500 Ce
0.500 0.500 0.000 Ce
0.000 0.000 0.000 Al
0.500 0.500 0.500 C
```

Computed properties:
**E_form**: -229 meV/atom
**Space group**: No. 221

=====

# 3
## HgPdW2 (PBE)

Data for crystalline HgPdW2 at its relaxed geometry.

Structure (POSCAR):
```
HgPdW2
1.0
-0.592 0.514 3.697
-1.930 -3.246 0.142
7.303 -6.368 3.988
Pd Hg W
2 2 4
direct
0.500 0.500 0.000 Pd
0.250 0.750 0.500 Pd
0.000 0.000 0.000 Hg
0.750 0.250 0.500 Hg
0.623 0.125 0.250 W
0.127 0.625 0.250 W
0.375 0.377 0.750 W
0.875 0.873 0.750 W
```

Computed properties:
**E_form**: 839 meV/atom
**Space group**: No. 122

=====

# 4
## CeZr2Pd (PBE)

Data for crystalline CeZr2Pd at its relaxed geometry.

Structure (POSCAR):
```
CeZr2Pd
1.0
-2.116 2.409 -3.796
0.358 -1.823 -4.608
-4.003 -1.911 -2.234
Ce Zr Pd
1 2 1
direct
0.500 0.500 0.500 Ce
0.000 0.000 0.000 Zr
0.250 0.250 0.250 Zr
0.750 0.750 0.750 Pd
```

Computed properties:
**Distance to the lowest polymorph of the same formula**: 127 meV per atom
**E_form**: -133 meV/atom
**Space group**: No. 216

=====

> Which of these has the lowest E_form?

Ce3AlC

=====

Repeat the fourth record exactly.
## CeZr2Pd (PBE)

Data for crystalline CeZr2Pd at its relaxed geometry.

Structure (POSCAR):
```
CeZr2Pd
1.0
-2.116 2.409 -3.796
0.358 -1.823 -4.608
-4.003 -1.911 -2.234
Ce Zr Pd
1 2 1
direct
0.500 0.500 0.500 Ce
0.000 0.000 0.000 Zr
0.250 0.250 0.250 Zr
0.750 0.750 0.750 Pd
```

Computed properties:
**Distance to the lowest polymorph of the same formula**: 127 meV per atom
**E_form**: -133 meV/atom
**Space group**: No. 216

=====

> Which of these has the lowest E_form?

Ce3AlC